Material: Ca2YBr
Method: DFT, PBE-GGA
State: optimized geometry

Geometry as CIF:
```
data_Ca2YBr
_space_group_name_H-M_alt 'R -3 m'
_space_group_IT_number 166
_space_group_name_Hall '-R 3 2"'
_cell_length_a 3.8207
_cell_length_b 3.8207
_cell_length_c 31.3030
_cell_angle_alpha 90.00
_cell_angle_beta 90.00
_cell_angle_gamma 120.00
loop_
_atom_site_label
_atom_site_fract_x
_atom_site_fract_y
_atom_site_fract_z
Ca1 0.0000 0.0000 0.2393
Y1 0.0000 0.0000 0.0000
Br1 0.0000 0.0000 0.5000
```

## Properties
Energy relative to the elements, uncorrected in eV/atom: -0.6409
D(E_F) in states/eV/f.u.: 4.94
Energy above the most stable polymorph in this dataset in meV/atom: 0